# TcSb3Br | Alexandria | PBE | relaxed
data_TcSb3Br
_chemical_formula_sum 'Tc1 Sb3 Br1'
_space_group_name_H-M_alt 'P m -3 m'
_space_group_IT_number 221
_space_group_name_Hall '-P 4 2 3'
_cell_length_a 5.203
_cell_length_b 5.203
_cell_length_c 5.203
_cell_angle_alpha 90.00
_cell_angle_beta 90.00
_cell_angle_gamma 90.00
loop_
_atom_site_label
_atom_site_type_symbol
_atom_site_fract_x
_atom_site_fract_y
_atom_site_fract_z
Tc1 Tc 0.000 0.000 0.000
Sb1 Sb 0.000 0.000 0.500
Br1 Br 0.500 0.500 0.500
# magnetization	0.00	μB/cell
# formation energy from raw total energies	0.29	eV/atom
# energy relative to the lowest polymorph listed for this composition	0	meV/atom